DFT (SCAN) results for a PBEsol-optimized structure of BaNa2Sr2.

M_tot   0.05 μB/atom
ΔE_f   0.084 eV per atom

```
data_BaNa2Sr2
_chemical_formula_sum 'Ba2 Na4 Sr4'
_cell_length_a 10.855
_cell_length_b 10.855
_cell_length_c 4.089
_cell_angle_alpha 90.00
_cell_angle_beta 90.00
_cell_angle_gamma 90.00
_space_group_name_H-M_alt 'P 4/m b m'
_space_group_IT_number 127
_space_group_name_Hall '-P 4 2ab'
loop_
_atom_site_label
_atom_site_fract_x
_atom_site_fract_y
_atom_site_fract_z
Ba1 0.000 0.000 0.000
Na1 0.165 0.335 0.500
Sr1 0.132 0.632 0.000
```